PBE MgV3Si, optimized geometry; ΔE_f (raw) = 0.65 eV/atom; distance to the lowest polymorph of the same formula = 0.000 eV/atom; E = -6.22 eV/atom; M_tot = 1.28 Bohr magnetons per cell
1.0
-3.455 -2.771 -0.588
2.809 -3.234 -1.270
0.362 -1.352 4.243
V Mg Si
3 1 1
Cartesian
1.405 -1.617 -0.635 V
0.181 -0.676 2.121 V
-1.728 -1.385 -0.294 V
-0.142 -3.678 1.192 Mg
0.000 0.000 0.000 Si

=====

PBE MgV2Si2, optimized geometry; ΔE_f (raw) = 0.11 eV/atom; distance to the lowest polymorph of the same formula = 0.398 eV/atom; E = -6.03 eV/atom; M_tot = 0.00 Bohr magnetons per cell
1.0
-1.204 -1.397 3.026
2.872 -2.069 0.188
3.766 2.627 4.787
Mg Si V
1 2 2
Cartesian
0.000 0.000 0.000 Mg
3.736 -0.587 3.291 Si
1.698 -0.252 4.710 Si
3.993 -0.008 5.736 V
1.440 -0.831 2.265 V

=====

PBE MgV2Si2, optimized geometry; ΔE_f (raw) = -0.29 eV/atom; distance to the lowest polymorph of the same formula = 0.000 eV/atom; E = -6.43 eV/atom; M_tot = 1.18 Bohr magnetons per cell
1.0
-1.537 -0.935 -6.427
2.557 -6.158 0.284
-2.848 -1.144 0.848
Si V Mg
4 4 2
Cartesian
-0.639 -1.373 -3.998 Si
1.658 -5.720 -2.145 Si
0.264 -4.681 -5.428 Si
0.756 -2.412 -0.714 Si
-1.515 -1.904 -1.678 V
0.023 -4.826 -0.452 V
-0.314 -6.332 -3.617 V
-1.852 -3.411 -4.844 V
0.000 0.000 0.000 Mg
0.510 -3.547 -3.071 Mg

=====

PBE MgV3Si, optimized geometry; ΔE_f (raw) = 1.75 eV/atom; distance to the lowest polymorph of the same formula = 1.097 eV/atom; E = -5.13 eV/atom; M_tot = 0.77 Bohr magnetons per cell
1.0
-1.152 3.965 -1.598
-1.839 -1.954 -3.521
-3.859 -0.252 2.156
Si V Mg
1 3 1
Cartesian
-3.425 0.879 -1.482 Si
-0.920 -0.977 -1.761 V
-1.929 -0.126 1.078 V
-0.576 1.982 -0.799 V
0.000 0.000 0.000 Mg

=====

PBE Mg6VSi, optimized geometry; ΔE_f (raw) = 0.14 eV/atom; distance to the lowest polymorph of the same formula = 0.000 eV/atom; E = -2.88 eV/atom; M_tot = 2.90 Bohr magnetons per cell
1.0
1.686 2.062 5.534
-3.653 3.449 -3.532
-3.888 -2.102 1.968
Mg Si V
6 1 1
Cartesian
-1.150 1.243 5.002 Mg
-0.949 1.522 -0.249 Mg
-0.096 2.525 2.508 Mg
-2.969 3.001 3.287 Mg
-1.912 4.222 0.732 Mg
-1.958 0.168 2.258 Mg
-3.902 1.958 0.330 Si
-2.706 3.203 -1.924 V

=====

PBE Mg6VSi, optimized geometry; ΔE_f (raw) = 0.16 eV/atom; distance to the lowest polymorph of the same formula = 0.018 eV/atom; E = -2.86 eV/atom; M_tot = 2.81 Bohr magnetons per cell
1.0
2.950 -5.451 0.000
2.950 5.451 0.000
0.000 0.000 4.935
V Mg Si
1 6 1
Cartesian
2.950 -3.572 2.468 V
4.422 -0.860 2.468 Mg
4.449 0.902 0.000 Mg
1.450 0.902 0.000 Mg
2.950 -1.890 0.000 Mg
2.950 3.543 0.000 Mg
1.477 -0.860 2.468 Mg
2.950 1.835 2.468 Si

=====

PBE Mg2VSiW, optimized geometry; ΔE_f (raw) = 1.24 eV/atom; E = -4.89 eV/atom; M_tot = 1.12 Bohr magnetons per cell
1.0
4.685 0.000 0.000
0.000 4.593 0.000
0.000 0.000 4.685
Mg Si V W
2 1 1 1
Cartesian
0.000 0.000 2.342 Mg
2.342 0.000 0.000 Mg
0.000 0.000 0.000 Si
0.000 2.297 0.000 V
2.342 2.297 2.342 W

=====

PBE YMgVSi2, optimized geometry; ΔE_f (raw) = 0.07 eV/atom; E = -5.54 eV/atom; M_tot = 0.18 Bohr magnetons per cell
1.0
-1.035 4.186 -1.589
-2.078 -1.977 -3.854
-4.012 -0.143 2.236
Y V Si Mg
1 1 2 1
Cartesian
-3.563 1.033 -1.604 Y
0.000 0.000 0.000 V
-0.518 2.093 -0.795 Si
-2.006 -0.071 1.118 Si
-1.039 -0.989 -1.927 Mg

=====

PBE MgSi2W2, optimized geometry; ΔE_f (raw) = 0.03 eV/atom; distance to the lowest polymorph of the same formula = 0.113 eV/atom; E = -7.64 eV/atom; M_tot = 0.00 Bohr magnetons per cell
1.0
-2.610 -3.011 0.140
1.988 -1.859 -2.914
2.759 -4.926 2.296
Mg W Si
1 2 2
Cartesian
0.000 0.000 0.000 Mg
-0.081 -5.186 0.525 W
2.218 -4.610 -1.002 W
0.340 -2.963 -0.606 Si
1.797 -6.833 0.128 Si

=====

PBE MgSiW4, optimized geometry; ΔE_f (raw) = 0.67 eV/atom; E = -9.13 eV/atom; M_tot = 0.00 Bohr magnetons per cell
1.0
-2.428 -4.145 -2.259
-5.251 -0.598 0.504
-3.170 0.743 -4.193
Mg W Si
1 4 1
Cartesian
-8.137 -2.999 -4.461 Mg
-5.283 -3.563 -3.358 W
-4.076 -1.503 -2.235 W
-6.686 -1.800 -1.985 W
-5.652 -1.133 -4.319 W
0.000 0.000 0.000 Si

=====

PBE Mg2SiW, optimized geometry; ΔE_f (raw) = 0.27 eV/atom; E = -5.12 eV/atom; M_tot = 0.00 Bohr magnetons per cell
1.0
-3.362 1.677 3.729
-1.838 -2.178 -4.461
-0.611 -2.552 1.088
W Mg Si
1 2 1
Cartesian
-1.224 -2.365 -1.686 W
0.000 0.000 0.000 Mg
-2.600 -0.250 -0.366 Mg
-1.986 -0.437 2.408 Si

=====

PBE Mg2SiW, optimized geometry; ΔE_f (raw) = 0.26 eV/atom; E = -5.13 eV/atom; M_tot = 0.00 Bohr magnetons per cell
1.0
4.876 -0.005 0.000
4.101 2.639 0.000
0.556 0.163 5.228
Si Mg W
1 2 1
Cartesian
4.794 1.406 2.457 Si
7.208 2.114 3.945 Mg
8.935 2.621 0.020 Mg
2.339 0.686 1.422 W

=====

PBE Mg2SiW, optimized geometry; ΔE_f (raw) = 0.29 eV/atom; E = -5.11 eV/atom; M_tot = 0.00 Bohr magnetons per cell
1.0
2.837 0.000 0.000
0.000 2.837 0.000
0.000 0.000 8.699
W Mg Si
1 2 1
Cartesian
1.418 1.418 6.320 W
1.418 1.418 2.388 Mg
0.000 0.000 8.532 Mg
0.000 0.000 4.507 Si

=====

PBE MgSi2W, optimized geometry; ΔE_f (raw) = 0.14 eV/atom; E = -6.21 eV/atom; M_tot = 0.00 Bohr magnetons per cell
1.0
-3.681 2.953 0.532
-3.632 -2.602 1.609
4.438 0.916 1.420
Si W Mg
2 1 1
Cartesian
-7.308 0.351 2.140 Si
-3.662 0.176 1.072 Si
-1.450 2.022 1.511 W
-1.425 -0.755 2.050 Mg